Computed, not measured: an optimized crystal structure of MgTiH4 at the PBE level of DFT.

Computed properties:
- VASP energy (eV/atom) = -3.967
- magnetic moment (μB per formula unit) = 0.00

Unit cell a=6.162 b=8.351 c=4.979 alpha=90.00 beta=123.52 gamma=90.00
Space group C2/c (No. 15)
Asymmetric unit:
Mg1 0.000 0.135 0.250
Ti1 0.000 0.485 0.750
H1 0.094 0.334 0.528
H2 0.220 0.061 0.772